Ge2Rh3, relaxed, DFT PBE; E_form = -0.44 eV/atom; SG = No. 62
1.0
9.330 0.000 0.000
0.000 3.780 0.000
0.000 0.000 8.585
Ge Rh
8 12
direct
0.033 0.250 0.187
0.205 0.250 0.495
0.295 0.750 0.995
0.467 0.750 0.687
0.533 0.250 0.313
0.705 0.250 0.005
0.795 0.750 0.505
0.967 0.750 0.813
0.054 0.750 0.379
0.113 0.250 0.917
0.208 0.750 0.683
0.292 0.250 0.183
0.387 0.750 0.417
0.446 0.250 0.879
0.554 0.750 0.121
0.613 0.250 0.583
0.708 0.750 0.817
0.792 0.250 0.317
0.887 0.750 0.083
0.946 0.250 0.621

Pu2TcRu, relaxed, DFT PBE; E_form = 0.44 eV/atom; SG = No. 166
1.0
1.477 0.853 9.690
-1.477 0.853 9.690
0.000 -1.706 9.690
Pu Tc Ru
2 1 1
direct
0.086 0.086 0.086
0.914 0.914 0.914
0.000 0.000 0.000
0.500 0.500 0.500

Computed magnetization (μB/f.u.) in order:
0.0 7.5